Compound: MnZnIn2F6
Source: Alexandria
Functional: GGA+U
Structure: optimized geometry

Total magnetization: 5.001 μB per formula unit
Total energy: -4.69 eV per atom

Structure (CIF):
```
data_MnZnIn2F6
_chemical_formula_sum 'Mn3 Zn3 In6 F18'
_cell_length_a 6.0045
_cell_length_b 6.0045
_cell_length_c 14.6948
_cell_angle_alpha 90.00
_cell_angle_beta 90.00
_cell_angle_gamma 120.00
_symmetry_space_group_name_H-M 'R -3'
_symmetry_Int_Tables_number 148
_symmetry_space_group_name_Hall '-R 3'
loop_
_atom_site_label
_atom_site_type_symbol
_atom_site_fract_x
_atom_site_fract_y
_atom_site_fract_z
_atom_site_occupancy
Mn1 Mn 0.0000 0.0000 0.0000 1
Zn1 Zn 0.0000 0.0000 0.5000 1
In1 In 0.0000 0.0000 0.2503 1
F1 F 0.0057 0.5022 0.2486 1
```